Record 1
The following is a DFT calculation (PBE) of crystalline Ac2GaN at its relaxed geometry.

Lattice parameters (Å, degrees): 8.271 8.271 8.271 27.79 27.79 27.79
Fractional coordinates of all 4 atoms:
1 Ac 0.231 0.231 0.231
2 Ac 0.769 0.769 0.769
3 Ga 0.000 0.000 0.000
4 N 0.500 0.500 0.500

Results
excess energy over the best structure of this formula in the dataset	0.070	eV per atom
M_tot	0.0	Bohr magnetons per cell
formation energy (no corrections)	-0.6141	eV/atom

Record 2
The following is a DFT calculation (PBE) of crystalline Ac2GaN3 at its relaxed geometry.

Lattice parameters (Å, degrees): 6.411 6.411 12.392 90.00 90.00 124.99
Fractional coordinates of all 24 atoms:
1 Ac 0.037 0.963 0.850
2 Ac 0.146 0.854 0.424
3 Ac 0.354 0.646 0.924
4 Ac 0.463 0.537 0.350
5 Ac 0.537 0.463 0.650
6 Ac 0.646 0.354 0.076
7 Ac 0.854 0.146 0.576
8 Ac 0.963 0.037 0.150
9 Ga 0.249 0.751 0.665
10 Ga 0.251 0.749 0.165
11 Ga 0.749 0.251 0.835
12 Ga 0.751 0.249 0.335
13 N 0.064 0.436 0.750
14 N 0.075 0.925 0.638
15 N 0.150 0.850 0.029
16 N 0.350 0.650 0.529
17 N 0.425 0.575 0.138
18 N 0.436 0.064 0.250
19 N 0.564 0.936 0.750
20 N 0.575 0.425 0.862
21 N 0.650 0.350 0.471
22 N 0.850 0.150 0.971
23 N 0.925 0.075 0.362
24 N 0.936 0.564 0.250

Results
M_tot	0.0	Bohr magnetons per cell
formation energy (no corrections)	-0.9048	eV/atom

Record 3
The following is a DFT calculation (PBE) of crystalline Ac3Ga2N2 at its relaxed geometry.

Lattice parameters (Å, degrees): 6.802 6.802 9.688 130.12 130.12 31.61
Fractional coordinates of all 7 atoms:
1 Ac 0.000 0.000 0.000
2 Ac 0.126 0.126 0.768
3 Ac 0.874 0.874 0.232
4 Ga 0.310 0.310 0.480
5 Ga 0.690 0.690 0.520
6 N 0.375 0.375 0.043
7 N 0.625 0.625 0.957

Results
M_tot	0.0	Bohr magnetons per cell
formation energy (no corrections)	-0.7285	eV/atom

Record 4
The following is a DFT calculation (PBE) of crystalline Ac6Ga3N2 at its relaxed geometry.

Lattice parameters (Å, degrees): 13.141 13.141 13.141 157.15 157.15 32.54
Fractional coordinates of all 11 atoms:
1 Ac 0.085 0.585 0.500
2 Ac 0.202 0.202 0.000
3 Ac 0.415 0.915 0.500
4 Ac 0.585 0.085 0.500
5 Ac 0.798 0.798 0.000
6 Ac 0.915 0.415 0.500
7 Ga 0.332 0.332 0.000
8 Ga 0.500 0.500 0.000
9 Ga 0.668 0.668 0.000
10 N 0.107 0.107 0.000
11 N 0.893 0.893 0.000

Results
M_tot	0.0	Bohr magnetons per cell
formation energy (no corrections)	-0.6148	eV/atom